Entry 1:
A plane-wave DFT calculation with PBE was carried out for SnBSN2 after structural relaxation.

a = 3.424 Å, b = 3.424 Å, c = 5.620 Å
α = 90.00°, β = 90.00°, γ = 90.00°
Positions (direct):
S 0.000 0.000 0.500
B 0.000 0.000 0.000
Sn 0.500 0.500 0.500
N 0.000 0.500 0.000
N 0.500 0.000 0.000

Summary:
E above lowest polymorph = 0.0000 eV per atom
Space group = P4/mmm (123)

***

Entry 2:
A plane-wave DFT calculation with PBE was carried out for TaBS2N after structural relaxation.

a = 4.860 Å, b = 4.860 Å, c = 2.761 Å
α = 90.00°, β = 90.00°, γ = 90.00°
Positions (direct):
S 0.000 0.500 0.000
S 0.500 0.000 0.000
N 0.000 0.000 0.500
B 0.000 0.000 0.000
Ta 0.500 0.500 0.500

Summary:
E above lowest polymorph = 0.0000 eV per atom
Space group = P4/mmm (123)

***

Entry 3:
A plane-wave DFT calculation with PBE was carried out for TaBS2N after structural relaxation.

a = 4.877 Å, b = 4.877 Å, c = 3.955 Å
α = 90.00°, β = 90.00°, γ = 90.00°
Positions (direct):
S 0.000 0.500 0.000
S 0.500 0.000 0.000
N 0.000 0.000 0.500
B 0.500 0.500 0.500
Ta 0.000 0.000 0.000

Summary:
E above lowest polymorph = 0.3992 eV per atom
Space group = P4/mmm (123)

***

Entry 4:
A plane-wave DFT calculation with PBE was carried out for TaB2SN after structural relaxation.

a = 3.620 Å, b = 4.014 Å, c = 3.620 Å
α = 90.00°, β = 90.00°, γ = 90.00°
Positions (direct):
S 0.000 0.000 0.000
N 0.000 0.500 0.000
B 0.000 0.000 0.500
B 0.500 0.000 0.000
Ta 0.500 0.500 0.500

Summary:
E above lowest polymorph = 0.3076 eV per atom
Space group = P4/mmm (123)

***

Entry 5:
A plane-wave DFT calculation with PBE was carried out for TaB2SN after structural relaxation.

a = 3.275 Å, b = 5.616 Å, c = 3.275 Å
α = 90.00°, β = 90.00°, γ = 90.00°
Positions (direct):
S 0.000 0.500 0.000
N 0.000 0.000 0.000
B 0.000 0.000 0.500
B 0.500 0.000 0.000
Ta 0.500 0.500 0.500

Summary:
E above lowest polymorph = 0.0000 eV per atom
Space group = P4/mmm (123)

***

Entry 6:
A plane-wave DFT calculation with PBE was carried out for TcBSN2 after structural relaxation.

a = 3.756 Å, b = 3.756 Å, c = 5.087 Å
α = 90.00°, β = 90.00°, γ = 90.00°
Positions (direct):
S 0.000 0.000 0.500
B 0.500 0.500 0.500
Tc 0.000 0.000 0.000
N 0.000 0.500 0.000
N 0.500 0.000 0.000

Summary:
E above lowest polymorph = 0.0985 eV per atom
Space group = P4/mmm (123)

***

Entry 7:
A plane-wave DFT calculation with PBE was carried out for TcBSN2 after structural relaxation.

a = 3.178 Å, b = 3.178 Å, c = 6.630 Å
α = 90.00°, β = 90.00°, γ = 90.00°
Positions (direct):
S 0.000 0.000 0.500
B 0.000 0.000 0.000
Tc 0.500 0.500 0.500
N 0.000 0.500 0.000
N 0.500 0.000 0.000

Summary:
E above lowest polymorph = 0.0000 eV per atom
Space group = P4/mmm (123)

***

Entry 8:
A plane-wave DFT calculation with PBE was carried out for TlBS2N after structural relaxation.

a = 5.196 Å, b = 5.196 Å, c = 4.407 Å
α = 90.00°, β = 90.00°, γ = 90.00°
Positions (direct):
Tl 0.000 0.000 0.000
B 0.500 0.500 0.500
S 0.000 0.500 0.000
S 0.500 0.000 0.000
N 0.000 0.000 0.500

Summary:
E above lowest polymorph = 1.8893 eV per atom
Space group = P4/mmm (123)